(1)
First-principles (PBE) data for an optimized crystal structure of La8SmEr2, as listed in Alexandria via LeMat-Bulk.

Summary:
Energy relative to the elements = 0.1220 eV per atom
Volume = 787 Å³/cell
Energy = -103.8 eV for the cell shown

Unit cell a=9.2699 b=16.8388 c=6.0967 alpha=90.00 beta=124.25 gamma=90.00
With the nearest neighbours (Å) after each atom.
Space group C2/m (No. 12)
Asymmetric unit:
La 0.0000 0.2057 0.0000 (multiplicity 4)  1 Sm 3.46, 4 Er 3.53-3.87, 6 La 3.68-3.76
La 0.0787 0.5000 0.7984 (multiplicity 4)  3 La 3.06-3.30, 1 Sm 3.37
La 0.2161 0.1203 0.6849 (multiplicity 8)  4 La 3.30-3.68, 2 Er 3.59-3.62
Sm 0.0000 0.0000 0.0000 (multiplicity 2)  4 La 3.37-3.46
Er 0.0000 0.3115 0.5000 (multiplicity 4)  10 La 3.53-3.87

---

(2)
First-principles (PBE) data for an optimized crystal structure of KTl3As, as listed in Alexandria via LeMat-Bulk.

Summary:
Energy relative to the elements = -0.1481 eV per atom
Volume = 656 Å³/cell
Energy = -54.3 eV for the cell shown

Unit cell a=9.6268 b=6.9517 c=12.4305 alpha=90.00 beta=127.96 gamma=90.00
With the nearest neighbours (Å) after each atom.
Space group P2_1/c (No. 14)
Asymmetric unit:
K 0.2136 0.1613 0.1945 (multiplicity 4)  3 As 3.50-3.62, 5 Tl 3.57-3.76
Tl 0.0029 0.6363 0.1369 (multiplicity 4)  2 As 2.88-2.95, 1 Tl 3.22
Tl 0.2944 0.6681 0.0763 (multiplicity 4)  1 As 2.89, 1 Tl 3.22
Tl 0.4731 0.7400 0.4112 (multiplicity 4)  2 As 3.00-3.19
As 0.1946 0.0085 0.9107 (multiplicity 4)  5 Tl 2.88-3.19